1.
DFT (PBE) results for crystalline Cs4HoTh3Te8 at its relaxed geometry.

DFT total energy   -74.837 eV/cell
Fermi-level density of states   0.601 states/eV per atom
M_tot   0.000 μB/cell
Uncorrected formation energy   -1.216 eV/atom

The structure in POSCAR format:
```
Cs4HoTh3Te8
1.0
-3.868 -0.579 8.173
9.013 -3.598 4.011
0.515 8.005 -4.211
Te Th Cs Ho
8 3 4 1
Cartesian
-0.229 -1.278 7.382
0.034 2.801 5.237
1.934 3.033 1.130
1.742 -0.983 3.218
5.888 5.107 0.590
3.726 0.795 6.842
5.626 1.028 2.736
3.917 4.812 4.754
2.830 1.914 3.986
2.572 -2.088 6.092
4.764 2.204 -0.100
0.257 4.003 -2.106
0.000 0.000 0.000
-1.677 3.713 1.981
-1.934 -0.290 4.086
4.507 -1.799 2.005
```

2.
DFT (PBE) results for crystalline KSr2Be at its relaxed geometry.

E_form   0.487 eV per atom
DFT total energy   -6.238 eV/cell
Fermi-level density of states   1.270 states/eV per atom
M_tot   0.007 μB/cell

The structure in POSCAR format:
```
KSr2Be
1.0
7.577 -0.036 -0.001
3.412 6.765 0.001
-4.554 -4.900 3.558
K Sr Be
1 2 1
Cartesian
2.176 2.615 1.780
10.225 6.262 0.000
6.257 3.832 0.000
4.258 -0.786 1.779
```

3.
DFT (PBE) results for crystalline BaCaPdO3 at its relaxed geometry.

DFT total energy   -71.891 eV/cell
Fermi-level density of states   0.034 states/eV per atom
M_tot   0.000 μB/cell
Uncorrected formation energy   -1.992 eV/atom

The structure in POSCAR format:
```
BaCaPdO3
1.0
4.014 0.000 0.000
-2.007 6.693 -0.006
0.000 -1.988 7.088
O Pd Ba Ca
6 2 2 2
Cartesian
2.007 -0.598 2.137
2.007 4.207 1.349
0.000 5.303 4.945
0.000 1.510 2.492
2.007 3.196 4.590
0.000 0.498 5.733
0.000 -0.495 1.888
2.007 5.201 5.194
2.007 1.789 0.550
0.000 2.916 6.531
2.007 0.853 4.033
0.000 3.852 3.049
```